Entry 1:
Density functional theory data (PBE-GGA) for an optimized crystal structure of TiPSeN2.

The calculated density comes out at 4.3 g cm⁻³. As for the distance to the lowest polymorph of the same formula: 0.0 kJ per mole of atoms. The total magnetization is 0.00 μB per formula unit.

It has space group P4/mmm (No. 123), with a = 3.457 Å, b = 3.457 Å, c = 5.959 Å, α = 90.00°, β = 90.00° and γ = 90.00°. The asymmetric unit holds Ti at (0.000, 0.000, 0.000), P at (0.500, 0.500, 0.500), Se at (0.500, 0.500, 0.000) and N at (0.000, 0.500, 0.500).


Entry 2:
Density functional theory data (PBE-GGA) for an optimized crystal structure of InSnBr2F.

The calculated density comes out at 4.7 g cm⁻³. As for the distance to the lowest polymorph of the same formula: 40.6 kJ per mole of atoms. The total magnetization is 0.63 μB per formula unit.

It has space group P4/mmm (No. 123), with a = 5.803 Å, b = 5.803 Å, c = 4.341 Å, α = 90.00°, β = 90.00° and γ = 90.00°. The asymmetric unit holds In at (0.000, 0.000, 0.000), Sn at (0.500, 0.500, 0.500), Br at (0.000, 0.500, 0.000) and F at (0.000, 0.000, 0.500).


Entry 3:
Density functional theory data (PBE-GGA) for an optimized crystal structure of TiCd3O.

The calculated density comes out at 4.2 g cm⁻³. As for the distance to the lowest polymorph of the same formula: 99.4 kJ per mole of atoms. The total magnetization is 0.00 μB per formula unit.

It has space group Pm-3m (No. 221), with a = 5.415 Å, b = 5.415 Å, c = 5.415 Å, α = 90.00°, β = 90.00° and γ = 90.00°. The asymmetric unit holds Ti at (0.000, 0.000, 0.000), Cd at (0.000, 0.000, 0.500) and O at (0.500, 0.500, 0.500).


In the order shown, the computed Fermi-level density of states values come out to 3.84, 3.58, 4.41 states/eV per cell.